(1)
10
Lattice="-1.7852 1.7852 10.1672 1.7852 -1.7852 10.1672 1.7852 1.7852 -10.1672" Properties=species:S:1:pos:R:3 comment="YHo2Ni2B2C3 (PBE, optimized geometry)" magmom_total_mub_per_atom=0.00 final_energy_ev_per_atom=-7.209 pbc="T T T"
Y 0.0000 0.0000 0.0000
Ho 0.0000 0.0000 7.6756
Ho 0.0000 0.0000 12.6587
Ni 1.7852 0.0000 5.0836
Ni 0.0000 1.7852 5.0836
B 0.0000 0.0000 3.9916
B 0.0000 0.0000 16.3428
C 0.0000 0.0000 2.5081
C 0.0000 0.0000 10.1672
C 0.0000 0.0000 17.8263

***

(2)
48
Lattice="6.4826 0.0000 0.0000 0.0000 12.8178 0.0000 0.0000 0.0000 11.8546" Properties=species:S:1:pos:R:3 comment="IrIO (PBE, optimized geometry)" magmom_total_mub_per_atom=0.00 de_polymorph_ev_per_atom=0.127 pbc="T T T"
Ir 0.7232 0.1187 1.3914
Ir 0.7232 6.2902 7.3186
Ir 1.3342 1.6910 4.1863
Ir 1.3342 4.7179 10.1136
Ir 1.9071 8.0999 4.1863
Ir 1.9071 11.1268 10.1136
Ir 2.5181 6.5276 1.3914
Ir 2.5181 12.6991 7.3186
Ir 3.9644 0.1187 4.5359
Ir 3.9644 6.2902 10.4632
Ir 4.5755 1.6910 1.7410
Ir 4.5755 4.7179 7.6683
Ir 5.1484 8.0999 1.7410
Ir 5.1484 11.1268 7.6683
Ir 5.7594 6.5276 4.5359
Ir 5.7594 12.6991 10.4632
I 0.7976 8.3073 0.3627
I 0.7976 10.9194 6.2900
I 0.9313 1.4239 8.8444
I 0.9313 4.9850 2.9171
I 2.3100 7.8329 8.8444
I 2.3100 11.3939 2.9171
I 2.4437 1.8984 0.3627
I 2.4437 4.5105 6.2900
I 4.0389 8.3073 5.5645
I 4.0389 10.9194 11.4918
I 4.1726 1.4239 8.9374
I 4.1726 4.9850 3.0102
I 5.5513 7.8329 8.9374
I 5.5513 11.3939 3.0102
I 5.6850 1.8984 5.5645
I 5.6850 4.5105 11.4918
O 0.1775 1.5515 2.6642
O 0.1775 4.8574 8.5915
O 0.7855 7.4573 5.6220
O 0.7855 11.7695 11.5492
O 2.4558 1.0484 5.6220
O 2.4558 5.3606 11.5492
O 3.0638 7.9604 2.6642
O 3.0638 11.2664 8.5915
O 3.4188 1.5515 3.2631
O 3.4188 4.8574 9.1903
O 4.0268 7.4573 0.3053
O 4.0268 11.7695 6.2326
O 5.6971 1.0484 0.3053
O 5.6971 5.3606 6.2326
O 6.3051 7.9604 3.2631
O 6.3051 11.2664 9.1903

***

(3)
4
Lattice="0.0000 3.2009 3.2009 3.2009 0.0000 3.2009 3.2009 3.2009 0.0000" Properties=species:S:1:pos:R:3 comment="GaHgIr2 (PBE, optimized geometry)" magmom_total_mub_per_atom=0.15 final_energy_ev_per_atom=-4.816 pbc="T T T"
Ga 0.0000 0.0000 0.0000
Hg 1.6004 1.6004 1.6004
Ir 3.2009 3.2009 3.2009
Ir 4.8013 4.8013 4.8013

***

(4)
4
Lattice="0.0000 3.4019 3.4019 3.4019 0.0000 3.4019 3.4019 3.4019 0.0000" Properties=species:S:1:pos:R:3 comment="NaAsOsPb (PBE, optimized geometry)" magmom_total_mub_per_atom=0.01 de_polymorph_ev_per_atom=0.395 pbc="T T T"
Na 0.0000 0.0000 0.0000
As 3.4019 3.4019 3.4019
Os 5.1029 5.1029 5.1029
Pb 1.7010 1.7010 1.7010

***

(5)
9
Lattice="4.2832 0.0000 0.0000 0.0000 6.1624 3.5370 0.0000 -6.1624 3.5370" Properties=species:S:1:pos:R:3 comment="LaHo2Al3Ge2Pt (PBE, optimized geometry)" magmom_total_mub_per_atom=0.00 final_energy_ev_per_atom=-5.383 pbc="T T T"
La 0.0000 0.0000 0.0000
Ho 0.0000 -2.5512 4.3930
Ho 0.0000 2.5512 4.3930
Al 2.1416 -1.4302 2.1617
Al 2.1416 1.4302 2.1617
Al 2.1416 0.0000 4.5649
Ge 2.1416 -4.0113 2.9270
Ge 2.1416 4.0113 2.9270
Pt 0.0000 0.0000 3.0500

***

(6)
4
Lattice="0.0000 3.3659 3.3659 3.3659 0.0000 3.3659 3.3659 3.3659 0.0000" Properties=species:S:1:pos:R:3 comment="YZnCdCu (PBE, optimized geometry)" magmom_total_mub_per_atom=0.00 de_polymorph_ev_per_atom=0.027 e_form_ev_per_atom=-0.152 pbc="T T T"
Y 0.0000 0.0000 0.0000
Zn 1.6830 1.6830 1.6830
Cd 5.0489 5.0489 5.0489
Cu 3.3659 3.3659 3.3659

***

(7)
6
Lattice="3.0757 0.0000 0.0000 0.0000 1.6467 6.6752 0.0000 -1.6467 6.6752" Properties=species:S:1:pos:R:3 comment="TaNbNi2B2 (PBE, optimized geometry)" magmom_total_mub_per_atom=0.00 final_energy_ev_per_atom=-8.333 pbc="T T T"
Ta 0.0000 0.0000 0.0000
Nb 1.5378 0.0000 2.6243
Ni 0.0000 0.0000 10.7293
Ni 1.5378 0.0000 5.2736
B 0.0000 0.0000 8.4469
B 1.5378 0.0000 7.5229

***

(8)
3
Lattice="0.0000 4.3088 4.3088 4.3088 0.0000 4.3088 4.3088 4.3088 0.0000" Properties=species:S:1:pos:R:3 comment="CsSrPm (PBE, optimized geometry)" magmom_total_mub_per_atom=0.00 final_energy_ev_per_atom=-1.405 pbc="T T T"
Cs 0.0000 0.0000 0.0000
Sr 2.1544 2.1544 2.1544
Pm 6.4632 6.4632 6.4632

***

(9)
4
Lattice="0.0000 3.1923 3.1923 3.1923 0.0000 3.1923 3.1923 3.1923 0.0000" Properties=species:S:1:pos:R:3 comment="YZnTcNi (PBE, optimized geometry)" magmom_total_mub_per_atom=0.00 e_form_ev_per_atom=0.137 pbc="T T T"
Y 0.0000 0.0000 0.0000
Zn 3.1923 3.1923 3.1923
Tc 1.5961 1.5961 1.5961
Ni 4.7884 4.7884 4.7884

***

(10)
9
Lattice="5.3266 0.0000 0.0000 0.0000 5.3266 0.0000 0.0000 0.0000 5.3266" Properties=species:S:1:pos:R:3 comment="LiPbAu3O4 (PBE, optimized geometry)" final_energy_ev_per_atom=-3.790 pbc="T T T"
Li 0.0000 0.0000 0.0000
Pb 2.6633 2.6633 2.6633
Au 0.0000 2.6633 2.6633
Au 2.6633 0.0000 2.6633
Au 2.6633 2.6633 0.0000
O 1.2077 1.2077 1.2077
O 1.2077 4.1189 4.1189
O 4.1189 1.2077 4.1189
O 4.1189 4.1189 1.2077

***

(11)
11
Lattice="-1.9841 7.8693 4.8183 1.9841 -7.8693 4.8183 1.9841 7.8693 -4.8183" Properties=species:S:1:pos:R:3 comment="Y7Te2Pt2 (PBE, optimized geometry)" magmom_total_mub_per_atom=0.00 final_energy_ev_per_atom=-6.817 pbc="T T T"
Y 0.0000 0.0000 0.0000
Y 1.9841 5.8394 -0.8127
Y 1.9841 2.8808 1.1865
Y 0.0000 2.0299 4.0056
Y 0.0000 5.6155 2.5578
Y 0.0000 10.1231 2.5578
Y 0.0000 4.9885 6.0049
Te 1.9841 0.0000 2.5219
Te 0.0000 0.0000 6.3829
Pt 1.9841 -4.1329 4.0987
Pt 1.9841 4.1329 4.0987

***

(12)
4
Lattice="0.0000 3.0946 3.0946 3.0946 0.0000 3.0946 3.0946 3.0946 0.0000" Properties=species:S:1:pos:R:3 comment="TaFeAsW (PBE, optimized geometry)" magmom_total_mub_per_atom=0.00 de_polymorph_ev_per_atom=0.000 pbc="T T T"
Ta 0.0000 0.0000 0.0000
Fe 4.6420 4.6420 4.6420
As 3.0946 3.0946 3.0946
W 1.5473 1.5473 1.5473

***

(13)
4
Lattice="0.0000 3.2298 3.2298 3.2298 0.0000 3.2298 3.2298 3.2298 0.0000" Properties=species:S:1:pos:R:3 comment="HfInCoOs (PBE, optimized geometry)" magmom_total_mub_per_atom=0.57 de_polymorph_ev_per_atom=0.444 pbc="T T T"
Hf 0.0000 0.0000 0.0000
In 1.6149 1.6149 1.6149
Co 3.2298 3.2298 3.2298
Os 4.8447 4.8447 4.8447

***

(14)
4
Lattice="0.0000 3.3311 3.3311 3.3311 0.0000 3.3311 3.3311 3.3311 0.0000" Properties=species:S:1:pos:R:3 comment="CsLiFeOs (PBE, optimized geometry)" magmom_total_mub_per_atom=0.96 de_polymorph_ev_per_atom=0.390 pbc="T T T"
Cs 0.0000 0.0000 0.0000
Li 3.3311 3.3311 3.3311
Fe 4.9967 4.9967 4.9967
Os 1.6656 1.6656 1.6656

***

(15)
12
Lattice="2.2224 -8.3894 0.0000 2.2224 8.3894 0.0000 0.0000 0.0000 11.1531" Properties=species:S:1:pos:R:3 comment="KDyTe3As (PBE, optimized geometry)" magmom_total_mub_per_atom=0.03 final_energy_ev_per_atom=-4.006 pbc="T T T"
K 2.2224 4.4279 8.3649
K 2.2224 -4.4279 2.7883
Dy 0.0000 0.0000 0.0000
Dy 0.0000 0.0000 5.5766
Te 2.2224 6.8183 2.7883
Te 2.2224 2.1538 0.4867
Te 2.2224 2.1538 5.0899
Te 2.2224 -2.1538 6.0633
Te 2.2224 -2.1538 10.6665
Te 2.2224 -6.8183 8.3649
As 2.2224 0.6669 2.7883
As 2.2224 -0.6669 8.3649

***

(16)
4
Lattice="0.0000 3.1781 3.1781 3.1781 0.0000 3.1781 3.1781 3.1781 0.0000" Properties=species:S:1:pos:R:3 comment="MgNiSbIr (PBE, optimized geometry)" magmom_total_mub_per_atom=0.00 final_energy_ev_per_atom=-4.923 pbc="T T T"
Mg 0.0000 0.0000 0.0000
Ni 3.1781 3.1781 3.1781
Sb 1.5891 1.5891 1.5891
Ir 4.7672 4.7672 4.7672

***

(17)
8
Lattice="4.2769 0.0000 0.0000 0.0000 4.2769 0.0000 0.0000 0.0000 10.3043" Properties=species:S:1:pos:R:3 comment="KCdPO (PBE, optimized geometry)" de_polymorph_ev_per_atom=0.561 pbc="T T T"
K 1.0692 1.0692 1.4988
K 3.2077 3.2077 8.8055
Cd 1.0692 3.2077 5.1522
Cd 3.2077 1.0692 5.1522
P 1.0692 1.0692 6.7177
P 3.2077 3.2077 3.5866
O 1.0692 3.2077 0.0000
O 3.2077 1.0692 0.0000

***

(18)
4
Lattice="0.0000 3.6424 3.6424 3.6424 0.0000 3.6424 3.6424 3.6424 0.0000" Properties=species:S:1:pos:R:3 comment="BaSrBAu (PBE, optimized geometry)" de_polymorph_ev_per_atom=0.293 pbc="T T T"
Ba 0.0000 0.0000 0.0000
Sr 1.8212 1.8212 1.8212
B 3.6424 3.6424 3.6424
Au 5.4636 5.4636 5.4636

***

(19)
3
Lattice="0.0000 3.3859 3.3859 3.3859 0.0000 3.3859 3.3859 3.3859 0.0000" Properties=species:S:1:pos:R:3 comment="LiHoNb (PBE, optimized geometry)" magmom_total_mub_per_atom=0.91 de_polymorph_ev_per_atom=0.135 pbc="T T T"
Li 0.0000 0.0000 0.0000
Ho 1.6930 1.6930 1.6930
Nb 3.3859 3.3859 3.3859

***

(20)
3
Lattice="0.0000 2.9141 2.9141 2.9141 0.0000 2.9141 2.9141 2.9141 0.0000" Properties=species:S:1:pos:R:3 comment="BeNbSi (PBE, optimized geometry)" magmom_total_mub_per_atom=0.00 final_energy_ev_per_atom=-5.906 pbc="T T T"
Be 0.0000 0.0000 0.0000
Nb 1.4570 1.4570 1.4570
Si 2.9141 2.9141 2.9141